VASP calculation (PBE) on Os2PbW after structural relaxation.

The structure in POSCAR format:
```
Os2PbW
1.0
2.8522 0.0000 0.0000
0.0000 3.8478 0.0000
0.0000 0.0000 6.6730
Os Pb W
2 1 1
direct
0.0000 0.0000 0.0000 Os
0.5000 0.5000 0.1659 Os
0.0000 0.0000 0.4732 Pb
0.5000 0.5000 0.7855 W
```

M_tot (μB/f.u.): 0.00
ρ (kg/m3): 17494
DFT formation energy (eV per atom): 0.787
Crystal system: orthorhombic
Space-group type: No. 25